Density functional theory data (PBE+U) for a relaxed structure of LaPr2Co2B2O3.

Cell: 3.618 3.618 20.054 Å, 90.00 90.00 90.00°
Space group I4/mmm (No. 139)
Symmetry-distinct sites (fractional):
La 0.000 0.000 0.000 x2
Pr 0.000 0.000 0.366 x4
Co 0.000 0.500 0.250 x4
B 0.000 0.000 0.202 x4
O 0.000 0.000 0.123 x4
O 0.000 0.000 0.500 x2

Calculated values
- Electronic total energy: -0.251 Ha/atom
- V: 131.3 Å³/f.u.